No. 1
LiEr2Ga4Pd3, relaxed, DFT GGA-PBE; energy = -0.1678 hartree per atom
1.0
-1.5074 -2.1907 -2.9254
3.6345 -0.5667 -1.4484
1.1393 -9.6359 6.6288
Ga Er Pd Li
4 2 3 1
Direct
0.0000 0.0000 0.0000 Ga
0.5000 0.5000 0.0000 Ga
0.5000 0.0000 0.6394 Ga
0.0000 0.5000 0.3606 Ga
0.5000 0.0000 0.2445 Er
0.0000 0.5000 0.7555 Er
0.0000 0.0000 0.5000 Pd
0.0000 0.5000 0.1458 Pd
0.5000 0.0000 0.8542 Pd
0.5000 0.5000 0.5000 Li

No. 2
Zn2Cu4Ag, relaxed, DFT GGA-PBE; energy = -0.1141 hartree per atom
1.0
2.5819 0.0000 -0.6472
-0.2467 3.9180 -0.9841
0.9359 0.2811 9.2072
Zn Cu Ag
2 4 1
Direct
0.5929 0.5929 0.1859 Zn
0.4071 0.4071 0.8141 Zn
0.8526 0.8526 0.7052 Cu
0.1474 0.1474 0.2948 Cu
0.2284 0.7284 0.4567 Cu
0.7716 0.2716 0.5433 Cu
0.0000 0.0000 0.0000 Ag

No. 3
Ta6GaH, relaxed, DFT GGA-PBE; energy = -0.3559 hartree per atom
1.0
-2.4952 4.0817 0.3649
-4.2681 -0.0480 -3.3018
-3.2640 -2.5705 3.3848
H Ta Ga
1 6 1
Direct
0.0000 0.0000 0.0000 H
0.6222 0.2211 0.0771 Ta
0.3778 0.7789 0.9229 Ta
0.0674 0.3603 0.7852 Ta
0.9326 0.6397 0.2148 Ta
0.2174 0.0699 0.3535 Ta
0.7826 0.9301 0.6465 Ta
0.5000 0.5000 0.5000 Ga

No. 4
BeTcIr2, relaxed, DFT GGA-PBE; energy = -0.2978 hartree per atom
1.0
8.1816 -0.0352 -0.0207
7.7281 2.6865 -0.0207
7.7281 1.2879 2.3578
Be Ir Tc
1 2 1
Direct
0.7500 0.7500 0.7500 Be
0.0071 0.0071 0.0071 Ir
0.4929 0.4929 0.4929 Ir
0.2500 0.2500 0.2500 Tc

No. 5
BeReIr, relaxed, DFT GGA-PBE; E above lowest polymorph = 231 meV/atom
1.0
4.5415 -0.0341 0.0166
2.3015 3.9153 -0.0166
-3.1236 -2.4658 2.1885
Re Be Ir
1 1 1
Direct
0.6636 0.6636 0.0000 Re
0.9984 0.9984 0.0000 Be
0.3380 0.3380 0.0000 Ir

No. 6
SmGe2Ru4, relaxed, DFT GGA-PBE; energy = -0.2836 hartree per atom
1.0
4.0036 0.0000 0.0000
0.0000 4.0425 0.0000
0.0000 -2.0212 7.2392
Ru Sm Ge
4 1 2
Direct
0.0000 0.3079 0.6157 Ru
0.5000 0.8096 0.6192 Ru
0.0000 0.6921 0.3843 Ru
0.5000 0.1904 0.3808 Ru
0.0000 0.0000 0.0000 Sm
0.5000 0.4129 0.8258 Ge
0.5000 0.5871 0.1742 Ge

No. 7
Ac2TbAl, relaxed, DFT GGA-PBE; E above lowest polymorph = 0 meV/atom
1.0
-2.5779 -1.6118 -2.5169
2.6028 -2.8444 -0.8444
-3.3373 -5.0237 6.6352
Ac Tb Al
2 1 1
Direct
0.0000 0.0000 0.2139 Ac
0.0000 0.0000 0.7861 Ac
0.5000 0.5000 0.5000 Tb
0.5000 0.5000 0.0000 Al

No. 8
Be2Ir2W, relaxed, DFT GGA-PBE; E above lowest polymorph = 0 meV/atom
1.0
6.6576 0.0000 0.0000
0.0000 6.6576 0.0000
0.0000 0.0000 2.7502
Be Ir W
4 4 2
Direct
0.1188 0.3812 0.0000 Be
0.6188 0.1188 0.0000 Be
0.8812 0.6188 0.0000 Be
0.3812 0.8812 0.0000 Be
0.8249 0.3249 0.5000 Ir
0.1751 0.6751 0.5000 Ir
0.6751 0.8249 0.5000 Ir
0.3249 0.1751 0.5000 Ir
0.5000 0.5000 0.0000 W
0.0000 0.0000 0.0000 W

No. 9
LiCr4Sb, relaxed, DFT GGA-PBE; raw formation energy = 0.36 eV per atom
1.0
-2.6053 -0.2741 4.1142
-4.8337 0.6387 -0.1273
-2.9809 -3.7867 0.7512
Cr Sb Li
4 1 1
Direct
0.3778 0.8665 0.3778 Cr
0.8665 0.3778 0.3778 Cr
0.3778 0.3778 0.3778 Cr
0.3778 0.3778 0.8665 Cr
0.0000 0.0000 0.0000 Sb
0.7500 0.7500 0.7500 Li

No. 10
TaIrO2, relaxed, DFT GGA-PBE; raw formation energy = -0.98 eV per atom; E above lowest polymorph = 313 meV/atom
1.0
3.8896 0.0000 0.0000
0.0000 3.8896 0.0000
1.9448 1.9448 6.5588
Ir O Ta
2 4 2
Direct
0.0000 0.0000 0.0000 Ir
0.7500 0.2500 0.5000 Ir
0.3750 0.4040 0.7500 O
0.5960 0.1250 0.2500 O
0.1540 0.6250 0.2500 O
0.8750 0.8460 0.7500 O
0.5000 0.5000 0.0000 Ta
0.2500 0.7500 0.5000 Ta

No. 11
Mn2CrAg, relaxed, DFT GGA-PBE; E above lowest polymorph = 80 meV/atom
1.0
3.9163 0.0000 0.0000
0.0000 3.9123 0.0000
0.0000 0.0000 3.7474
Ag Cr Mn
1 1 2
Direct
0.5000 0.0000 0.5000 Ag
0.0000 0.5000 0.5000 Cr
0.5000 0.5000 0.0000 Mn
0.0000 0.0000 0.0000 Mn

No. 12
Dy2CuNi4P3, relaxed, DFT GGA-PBE; energy = -0.2261 hartree per atom
1.0
3.9231 0.0000 0.0000
0.0000 3.9231 0.0000
0.0000 0.0000 9.3036
Dy P Ni Cu
2 3 4 1
Direct
0.5000 0.0000 0.2479 Dy
0.0000 0.5000 0.7521 Dy
0.5000 0.0000 0.8668 P
0.0000 0.0000 0.5000 P
0.0000 0.5000 0.1332 P
0.5000 0.0000 0.6295 Ni
0.0000 0.0000 0.0000 Ni
0.0000 0.5000 0.3705 Ni
0.5000 0.5000 0.0000 Ni
0.5000 0.5000 0.5000 Cu

Number 1: volume 183.7 Å³ per cell, mass density 8.5 g cm⁻³, N(E_F) 4.89 states/eV/f.u.. Number 2: volume 96.3 Å³ per cell, mass density 8.5 g cm⁻³, N(E_F) 2.75 states/eV/f.u.. Number 3: volume 128.5 Å³ per cell, mass density 14.9 g cm⁻³, N(E_F) 6.52 states/eV/f.u.. Number 4: volume 52.9 Å³ per cell, mass density 15.4 g cm⁻³, N(E_F) 4.09 states/eV/f.u.. Number 5: volume 39.0 Å³ per cell, mass density 16.5 g cm⁻³, N(E_F) 1.86 states/eV/f.u.. Number 6: volume 117.2 Å³ per cell, mass density 9.9 g cm⁻³, N(E_F) 4.60 states/eV/f.u.. Number 7: volume 139.7 Å³ per cell, mass density 7.6 g cm⁻³, N(E_F) 4.98 states/eV/f.u.. Number 8: volume 121.9 Å³ per cell, mass density 16.0 g cm⁻³, N(E_F) 3.62 states/eV/f.u.. Number 9: volume 82.0 Å³ per cell, mass density 6.8 g cm⁻³, N(E_F) 4.87 states/eV/f.u.. Number 10: volume 99.2 Å³ per cell, mass density 13.6 g cm⁻³, N(E_F) 1.14 states/eV/f.u.. Number 11: volume 57.4 Å³ per cell, mass density 7.8 g cm⁻³, N(E_F) 3.36 states/eV/f.u.. Number 12: volume 143.2 Å³ per cell, mass density 8.3 g cm⁻³, N(E_F) 4.90 states/eV/f.u..